# 1
Entry from Alexandria via LeMat-Bulk: an optimized crystal structure of SrYCl2 (PBE).

```
data_SrYCl2
_cell_length_a 3.702
_cell_length_b 3.698
_cell_length_c 19.424
_cell_angle_alpha 90.00
_cell_angle_beta 90.00
_cell_angle_gamma 90.00
_space_group_name_H-M_alt 'A m m 2'
_space_group_IT_number 38
_space_group_name_Hall 'A 2 -2'
loop_
_atom_site_label
_atom_site_fract_x
_atom_site_fract_y
_atom_site_fract_z
_atom_site_occupancy
Sr1 0.000 0.000 0.000 1
Y1 0.500 0.000 0.659 1
Cl1 0.000 0.000 0.224 1
Cl2 0.500 0.000 0.425 1
```

Calculated values
Energy relative to the elements, uncorrected: -564.8 kJ/mol of formula units
ΔE to the lowest computed polymorph: 0.017 eV/atom
Density: 3.1 Mg/m³
Total magnetization: 0.5 μB per formula unit
DOS(E_F): 4.296 states/eV per cell

=====

# 2
Entry from Alexandria via LeMat-Bulk: an optimized crystal structure of PuPaMnNi (PBE).

```
data_PuPaMnNi
_cell_length_a 6.663
_cell_length_b 6.663
_cell_length_c 6.663
_cell_angle_alpha 90.00
_cell_angle_beta 90.00
_cell_angle_gamma 90.00
_space_group_name_H-M_alt 'F -4 3 m'
_space_group_IT_number 216
_space_group_name_Hall 'F -4 2 3'
loop_
_atom_site_label
_atom_site_fract_x
_atom_site_fract_y
_atom_site_fract_z
_atom_site_occupancy
Pu1 0.000 0.000 0.000 1
Pa1 0.000 0.000 0.500 1
Mn1 0.250 0.250 0.750 1
Ni1 0.250 0.250 0.250 1
```

Calculated values
Density: 13.2 Mg/m³
Total magnetization: 4.2 μB per formula unit
DOS(E_F): 38.995 states/eV per cell
Formation energy: 0.0342 eV per atom

=====

# 3
Entry from Alexandria via LeMat-Bulk: an optimized crystal structure of Cr2ReP (PBE).

```
data_Cr2ReP
_cell_length_a 2.794
_cell_length_b 3.785
_cell_length_c 4.790
_cell_angle_alpha 90.00
_cell_angle_beta 90.00
_cell_angle_gamma 90.00
_space_group_name_H-M_alt 'P m m 2'
_space_group_IT_number 25
_space_group_name_Hall 'P 2 -2'
loop_
_atom_site_label
_atom_site_fract_x
_atom_site_fract_y
_atom_site_fract_z
_atom_site_occupancy
Cr1 0.000 0.000 0.000 1
Cr2 0.500 0.500 0.269 1
Re1 0.500 0.500 0.759 1
P1 0.000 0.000 0.491 1
```

Calculated values
Density: 10.5 Mg/m³
Total magnetization: 0.2 μB per formula unit
DOS(E_F): 4.144 states/eV per cell
Formation energy: 0.0586 eV per atom

=====

# 4
Entry from Alexandria via LeMat-Bulk: an optimized crystal structure of LaTcAg2 (PBE).

```
data_LaTcAg2
_cell_length_a 6.964
_cell_length_b 6.964
_cell_length_c 6.964
_cell_angle_alpha 90.00
_cell_angle_beta 90.00
_cell_angle_gamma 90.00
_space_group_name_H-M_alt 'F -4 3 m'
_space_group_IT_number 216
_space_group_name_Hall 'F -4 2 3'
loop_
_atom_site_label
_atom_site_fract_x
_atom_site_fract_y
_atom_site_fract_z
_atom_site_occupancy
La1 0.000 0.000 0.000 1
Tc1 0.250 0.250 0.750 1
Ag1 0.000 0.000 0.500 1
Ag2 0.250 0.250 0.250 1
```

Calculated values
ΔE to the lowest computed polymorph: 0.211 eV/atom
Density: 8.9 Mg/m³
Total magnetization: 1.8 μB per formula unit
DOS(E_F): 25.030 states/eV per cell
Formation energy: 0.4240 eV per atom

=====

# 5
Entry from Alexandria via LeMat-Bulk: an optimized crystal structure of ErCuAgAu (PBE).

```
data_ErCuAgAu
_cell_length_a 6.734
_cell_length_b 6.734
_cell_length_c 6.734
_cell_angle_alpha 90.00
_cell_angle_beta 90.00
_cell_angle_gamma 90.00
_space_group_name_H-M_alt 'F -4 3 m'
_space_group_IT_number 216
_space_group_name_Hall 'F -4 2 3'
loop_
_atom_site_label
_atom_site_fract_x
_atom_site_fract_y
_atom_site_fract_z
_atom_site_occupancy
Er1 0.000 0.000 0.000 1
Cu1 0.250 0.250 0.750 1
Ag1 0.000 0.000 0.500 1
Au1 0.250 0.250 0.250 1
```

Calculated values
Density: 11.7 Mg/m³
Total magnetization: 0.0 μB per formula unit
DOS(E_F): 5.667 states/eV per cell
Formation energy: -0.3676 eV per atom

=====

# 6
Entry from Alexandria via LeMat-Bulk: an optimized crystal structure of Sm2TeCl3 (PBE).

```
data_Sm2TeCl3
_cell_length_a 17.147
_cell_length_b 4.272
_cell_length_c 13.984
_cell_angle_alpha 90.00
_cell_angle_beta 127.70
_cell_angle_gamma 90.00
_space_group_name_H-M_alt 'C 1 2/m 1'
_space_group_IT_number 12
_space_group_name_Hall '-C 2y'
loop_
_atom_site_label
_atom_site_fract_x
_atom_site_fract_y
_atom_site_fract_z
_atom_site_occupancy
Sm1 0.107 0.000 0.445 1
Sm2 0.140 0.500 0.850 1
Te1 0.121 0.000 0.681 1
Cl1 0.061 0.500 0.281 1
Cl2 0.153 0.000 0.998 1
Cl3 0.236 0.500 0.585 1
```

Calculated values
Energy relative to the elements, uncorrected: -1071.9 kJ/mol of formula units
Density: 4.4 Mg/m³
Total magnetization: 0.0 μB per formula unit
DOS(E_F): 17.264 states/eV per cell

=====

# 7
Entry from Alexandria via LeMat-Bulk: an optimized crystal structure of LiAg2PbF8 (PBE).

```
data_LiAg2PbF8
_cell_length_a 5.609
_cell_length_b 5.609
_cell_length_c 10.706
_cell_angle_alpha 90.00
_cell_angle_beta 90.00
_cell_angle_gamma 90.00
_space_group_name_H-M_alt 'I -4'
_space_group_IT_number 82
_space_group_name_Hall 'I -4'
loop_
_atom_site_label
_atom_site_fract_x
_atom_site_fract_y
_atom_site_fract_z
_atom_site_occupancy
Li1 0.000 0.000 0.000 1
Ag1 0.000 0.000 0.500 1
Ag2 0.000 0.500 0.750 1
Pb1 0.000 0.500 0.250 1
F1 0.132 0.722 0.093 1
F2 0.181 0.189 0.672 1
```

Calculated values
Energy relative to the elements, uncorrected: -1990.3 kJ/mol of formula units
Density: 5.7 Mg/m³
Total magnetization: 1.1 μB per formula unit
DOS(E_F): 18.151 states/eV per cell

=====

# 8
Entry from Alexandria via LeMat-Bulk: an optimized crystal structure of Co3SiH (PBE).

```
data_Co3SiH
_cell_length_a 4.798
_cell_length_b 11.786
_cell_length_c 4.285
_cell_angle_alpha 90.00
_cell_angle_beta 90.00
_cell_angle_gamma 90.00
_space_group_name_H-M_alt 'C m c m'
_space_group_IT_number 63
_space_group_name_Hall '-C 2c 2'
loop_
_atom_site_label
_atom_site_fract_x
_atom_site_fract_y
_atom_site_fract_z
_atom_site_occupancy
Co1 0.000 0.000 0.000 1
Co2 0.247 0.165 0.250 1
Si1 0.000 0.173 0.750 1
H1 0.000 0.427 0.750 1
```

Calculated values
ΔE to the lowest computed polymorph: 0.497 eV/atom
Density: 5.6 Mg/m³
Total magnetization: 3.2 μB per formula unit
DOS(E_F): 22.137 states/eV per cell

=====

# 9
Entry from Alexandria via LeMat-Bulk: an optimized crystal structure of LuTiW4 (PBE).

```
data_LuTiW4
_cell_length_a 7.625
_cell_length_b 7.625
_cell_length_c 7.625
_cell_angle_alpha 90.00
_cell_angle_beta 90.00
_cell_angle_gamma 90.00
_space_group_name_H-M_alt 'F -4 3 m'
_space_group_IT_number 216
_space_group_name_Hall 'F -4 2 3'
loop_
_atom_site_label
_atom_site_fract_x
_atom_site_fract_y
_atom_site_fract_z
_atom_site_occupancy
Lu1 0.000 0.000 0.000 1
Ti1 0.250 0.250 0.750 1
W1 0.125 0.125 0.375 1
```

Calculated values
Density: 14.4 Mg/m³
Total magnetization: 0.0 μB per formula unit
DOS(E_F): 20.802 states/eV per cell
Formation energy: 0.0696 eV per atom

=====

# 10
Entry from Alexandria via LeMat-Bulk: an optimized crystal structure of NaPb4S4 (PBE).

```
data_NaPb4S4
_cell_length_a 7.140
_cell_length_b 7.140
_cell_length_c 10.344
_cell_angle_alpha 90.00
_cell_angle_beta 90.00
_cell_angle_gamma 90.00
_space_group_name_H-M_alt 'I -4 2 m'
_space_group_IT_number 121
_space_group_name_Hall 'I -4 2'
loop_
_atom_site_label
_atom_site_fract_x
_atom_site_fract_y
_atom_site_fract_z
_atom_site_occupancy
Na1 0.000 0.000 0.000 1
Pb1 0.000 0.000 0.330 1
Pb2 0.000 0.500 0.000 1
S1 0.212 0.212 0.153 1
```

Calculated values
Energy relative to the elements, uncorrected: -339.2 kJ/mol of formula units
Density: 6.2 Mg/m³
Total magnetization: 0.0 μB per formula unit
DOS(E_F): 6.703 states/eV per cell

=====

# 11
Entry from Alexandria via LeMat-Bulk: an optimized crystal structure of Tb2SmTh3 (PBE).

```
data_Tb2SmTh3
_cell_length_a 10.255
_cell_length_b 11.353
_cell_length_c 6.752
_cell_angle_alpha 90.00
_cell_angle_beta 90.00
_cell_angle_gamma 90.00
_space_group_name_H-M_alt 'C m c m'
_space_group_IT_number 63
_space_group_name_Hall '-C 2c 2'
loop_
_atom_site_label
_atom_site_fract_x
_atom_site_fract_y
_atom_site_fract_z
_atom_site_occupancy
Tb1 0.166 0.230 0.250 1
Sm1 0.000 0.270 0.750 1
Th1 0.000 0.000 0.000 1
Th2 0.167 0.500 0.000 1
```

Calculated values
Density: 9.8 Mg/m³
Total magnetization: 0.0 μB per formula unit
DOS(E_F): 29.854 states/eV per cell
Formation energy: 0.1875 eV per atom

=====

# 12
Entry from Alexandria via LeMat-Bulk: an optimized crystal structure of ThSi2Ir2Rh (PBE).

```
data_ThSi2Ir2Rh
_cell_length_a 3.982
_cell_length_b 3.982
_cell_length_c 17.511
_cell_angle_alpha 90.00
_cell_angle_beta 90.00
_cell_angle_gamma 90.00
_space_group_name_H-M_alt 'I 4/m m m'
_space_group_IT_number 139
_space_group_name_Hall '-I 4 2'
loop_
_atom_site_label
_atom_site_fract_x
_atom_site_fract_y
_atom_site_fract_z
_atom_site_occupancy
Th1 0.000 0.000 0.000 1
Si1 0.000 0.000 0.177 1
Ir1 0.000 0.500 0.250 1
Rh1 0.000 0.000 0.500 1
```

Calculated values
Energy relative to the elements, uncorrected: -102.9 kJ/mol of formula units
Density: 9.3 Mg/m³
Total magnetization: 0.0 μB per formula unit
DOS(E_F): 7.922 states/eV per cell

=====

Please write out number 6 again, unchanged.
Entry from Alexandria via LeMat-Bulk: an optimized crystal structure of Sm2TeCl3 (PBE).

```
data_Sm2TeCl3
_cell_length_a 17.147
_cell_length_b 4.272
_cell_length_c 13.984
_cell_angle_alpha 90.00
_cell_angle_beta 127.70
_cell_angle_gamma 90.00
_space_group_name_H-M_alt 'C 1 2/m 1'
_space_group_IT_number 12
_space_group_name_Hall '-C 2y'
loop_
_atom_site_label
_atom_site_fract_x
_atom_site_fract_y
_atom_site_fract_z
_atom_site_occupancy
Sm1 0.107 0.000 0.445 1
Sm2 0.140 0.500 0.850 1
Te1 0.121 0.000 0.681 1
Cl1 0.061 0.500 0.281 1
Cl2 0.153 0.000 0.998 1
Cl3 0.236 0.500 0.585 1
```

Calculated values
Energy relative to the elements, uncorrected: -1071.9 kJ/mol of formula units
Density: 4.4 Mg/m³
Total magnetization: 0.0 μB per formula unit
DOS(E_F): 17.264 states/eV per cell

=====

- Which of these has the highest total magnetization?
  PuPaMnNi

=====

- total magnetization of number 1 (SrYCl2)?
  0.5 μB per formula unit